# 1
# Tl3SbS4, relaxed, DFT PBE-GGA
data_Tl3SbS4
_space_group_name_H-M_alt 'P m n 21'
_space_group_IT_number 31
_cell_length_a 9.2503
_cell_length_b 9.3451
_cell_length_c 6.3779
_cell_angle_alpha 90.00
_cell_angle_beta 90.00
_cell_angle_gamma 90.00
loop_
_space_group_symop_operation_xyz
'x,y,z'
'-x+1/2,-y,z+1/2'
'-x,y,z'
'x+1/2,-y,z+1/2'
loop_
_atom_site_label
_atom_site_type_symbol
_atom_site_fract_x
_atom_site_fract_y
_atom_site_fract_z
Tl1 Tl 0.0000 0.1027 0.0000
Tl2 Tl 0.2002 0.3296 0.4991
Sb1 Sb 0.0000 0.7880 0.5809
S1 S 0.0000 0.0325 0.4904
S2 S 0.0000 0.7739 0.9563
S3 S 0.2169 0.6722 0.4790
# Mass density (g/cm³): 5.20
# Relative energy among the computed polymorphs (meV/atom): 21
# Calculated volume (Å³/atom): 34.46
# Formation energy (no corrections) (meV per atom): -280

***

# 2
# DyEr3ThSc, relaxed, DFT PBE-GGA
data_DyEr3ThSc
_space_group_name_H-M_alt 'C m c m'
_space_group_IT_number 63
_space_group_name_Hall '-C 2c 2'
_cell_length_a 4.9226
_cell_length_b 14.7009
_cell_length_c 9.9718
_cell_angle_alpha 90.00
_cell_angle_beta 90.00
_cell_angle_gamma 90.00
loop_
_atom_site_label
_atom_site_type_symbol
_atom_site_fract_x
_atom_site_fract_y
_atom_site_fract_z
Dy1 Dy 0.0000 0.0000 0.0000
Er1 Er 0.0000 0.1685 0.2500
Er2 Er 0.0000 0.3344 0.9997
Th1 Th 0.0000 0.4973 0.2500
Sc1 Sc 0.0000 0.1654 0.7500
# Mass density (g/cm³): 8.66
# DFT formation energy (eV per formula unit): 0.29
# Calculated volume (Å³/atom): 30.07

***

# 3
# Nd2HoAl2Ga2, relaxed, DFT PBE-GGA
data_Nd2HoAl2Ga2
_space_group_name_H-M_alt 'R -3 m'
_space_group_IT_number 166
_space_group_name_Hall '-R 3 2"'
_cell_length_a 4.2698
_cell_length_b 4.2698
_cell_length_c 33.7132
_cell_angle_alpha 90.00
_cell_angle_beta 90.00
_cell_angle_gamma 120.00
loop_
_atom_site_label
_atom_site_type_symbol
_atom_site_fract_x
_atom_site_fract_y
_atom_site_fract_z
Nd1 Nd 0.0000 0.0000 0.1223
Ho1 Ho 0.0000 0.0000 0.0000
Al1 Al 0.0000 0.0000 0.3916
Ga1 Ga 0.0000 0.0000 0.2712
# Mass density (g/cm³): 6.05
# DFT formation energy (eV per formula unit): -2.86
# Calculated volume (Å³/atom): 25.35

***

# 4
# Pr2ScP, relaxed, DFT PBE-GGA
data_Pr2ScP
_space_group_name_H-M_alt 'R -3 m'
_space_group_IT_number 166
_space_group_name_Hall '-R 3 2"'
_cell_length_a 3.8388
_cell_length_b 3.8388
_cell_length_c 30.1674
_cell_angle_alpha 90.00
_cell_angle_beta 90.00
_cell_angle_gamma 120.00
loop_
_atom_site_label
_atom_site_type_symbol
_atom_site_fract_x
_atom_site_fract_y
_atom_site_fract_z
Pr1 Pr 0.0000 0.0000 0.1095
Sc1 Sc 0.0000 0.0000 0.0000
P1 P 0.0000 0.0000 0.5000
# Mass density (g/cm³): 4.63
# DFT formation energy (eV per formula unit): -1.38
# Calculated volume (Å³/atom): 32.08